1.
Er3Th2Sc3: relaxed, PBE-GGA.

Lattice parameters (Å, degrees): 10.359 10.359 10.359 152.96 152.75 38.77
Atoms (fractional coordinates):
Er: 0.000 0.000 0.000
Er: 0.376 0.876 0.500
Er: 0.624 0.124 0.500
Th: 0.250 0.250 0.000
Th: 0.750 0.750 0.000
Sc: 0.125 0.625 0.500
Sc: 0.500 0.500 0.000
Sc: 0.875 0.375 0.500

Summary:
energy relative to the lowest polymorph listed for this composition: 0 meV per atom
crystal system: orthorhombic
energy relative to the elements: 0.04 eV per atom



2.
Er2ThSc6: relaxed, PBE-GGA.

Lattice parameters (Å, degrees): 9.473 9.473 9.473 160.01 122.59 61.42
Atoms (fractional coordinates):
Er: 0.151 0.151 0.000
Er: 0.849 0.849 0.000
Th: 0.500 0.000 0.500
Sc: 0.159 0.333 0.826
Sc: 0.168 0.500 0.668
Sc: 0.493 0.667 0.826
Sc: 0.507 0.333 0.174
Sc: 0.832 0.500 0.332
Sc: 0.841 0.667 0.174

Summary:
energy relative to the lowest polymorph listed for this composition: 0 meV per atom
crystal system: orthorhombic
energy relative to the elements: 0.10 eV per atom



3.
ErThSc: relaxed, PBE-GGA.

Lattice parameters (Å, degrees): 7.583 7.583 7.583 153.33 153.33 38.08
Atoms (fractional coordinates):
Er: 0.000 0.000 0.000
Th: 0.330 0.330 0.000
Sc: 0.671 0.671 0.000

Summary:
energy relative to the lowest polymorph listed for this composition: 0 meV per atom
crystal system: tetragonal
energy relative to the elements: 0.04 eV per atom



4.
ErTh3Sc6: relaxed, PBE-GGA.

Lattice parameters (Å, degrees): 10.544 10.544 5.773 90.00 90.00 119.57
Atoms (fractional coordinates):
Er: 0.201 0.799 0.500
Er: 0.799 0.201 0.000
Th: 0.060 0.283 0.371
Th: 0.283 0.060 0.871
Th: 0.389 0.611 0.439
Th: 0.611 0.389 0.939
Th: 0.717 0.940 0.371
Th: 0.940 0.717 0.871
Sc: 0.039 0.961 0.310
Sc: 0.042 0.469 0.773
Sc: 0.275 0.725 0.006
Sc: 0.283 0.380 0.912
Sc: 0.380 0.283 0.412
Sc: 0.469 0.042 0.273
Sc: 0.531 0.958 0.773
Sc: 0.620 0.717 0.912
Sc: 0.717 0.620 0.412
Sc: 0.725 0.275 0.506
Sc: 0.958 0.531 0.273
Sc: 0.961 0.039 0.810

Summary:
energy relative to the lowest polymorph listed for this composition: 0 meV per atom
crystal system: orthorhombic
energy relative to the elements: 0.19 eV per atom



5.
Er5Th5Sc2: relaxed, PBE-GGA.

Lattice parameters (Å, degrees): 7.717 7.717 11.105 114.34 114.34 37.73
Atoms (fractional coordinates):
Er: 0.000 0.000 0.000
Er: 0.082 0.082 0.748
Er: 0.170 0.170 0.505
Er: 0.830 0.830 0.495
Er: 0.918 0.918 0.252
Th: 0.247 0.247 0.247
Th: 0.333 0.333 0.996
Th: 0.500 0.500 0.500
Th: 0.667 0.667 0.004
Th: 0.753 0.753 0.753
Sc: 0.417 0.417 0.748
Sc: 0.583 0.583 0.252

Summary:
energy relative to the lowest polymorph listed for this composition: 0 meV per atom
crystal system: monoclinic
energy relative to the elements: 0.05 eV per atom



6.
Er2ThSc4: relaxed, PBE-GGA.

Lattice parameters (Å, degrees): 7.584 7.584 3.434 90.00 90.00 93.10
Atoms (fractional coordinates):
Er: 0.196 0.196 0.000
Er: 0.804 0.804 0.000
Th: 0.500 0.500 0.500
Sc: 0.000 0.500 0.500
Sc: 0.240 0.760 0.000
Sc: 0.500 0.000 0.500
Sc: 0.760 0.240 0.000

Summary:
crystal system: orthorhombic
energy relative to the elements: 0.18 eV per atom